1.
Entry from Alexandria via LeMat-Bulk: a crystal of BeCuRu relaxed with PBEsol (SCAN).

Results
Crystal system = cubic
E_form = 2.19 eV per formula unit
Uncorrected energy = -17.397 eV/atom

Geometry as CIF:
```
data_BeCuRu
_space_group_name_H-M_alt 'F -4 3 m'
_space_group_IT_number 216
_space_group_name_Hall 'F -4 2 3'
_cell_length_a 5.477
_cell_length_b 5.477
_cell_length_c 5.477
_cell_angle_alpha 90.00
_cell_angle_beta 90.00
_cell_angle_gamma 90.00
loop_
_atom_site_label
_atom_site_fract_x
_atom_site_fract_y
_atom_site_fract_z
Be1 0.000 0.000 0.000
Cu1 0.000 0.000 0.500
Ru1 0.250 0.250 0.250
```


2.
Entry from Alexandria via LeMat-Bulk: a crystal of Be2CuRu2 relaxed with PBEsol (SCAN).

Results
Crystal system = tetragonal
E_form = -1.45 eV per formula unit
Uncorrected energy = -19.002 eV/atom

Geometry as CIF:
```
data_Be2CuRu2
_space_group_name_H-M_alt 'P 4/m b m'
_space_group_IT_number 127
_space_group_name_Hall '-P 4 2ab'
_cell_length_a 5.794
_cell_length_b 5.794
_cell_length_c 3.120
_cell_angle_alpha 90.00
_cell_angle_beta 90.00
_cell_angle_gamma 90.00
loop_
_atom_site_label
_atom_site_fract_x
_atom_site_fract_y
_atom_site_fract_z
Be1 0.126 0.374 0.000
Cu1 0.000 0.000 0.000
Ru1 0.173 0.673 0.500
```


3.
Entry from Alexandria via LeMat-Bulk: a crystal of TiBeCuS2 relaxed with PBEsol (SCAN).

Results
E_form (uncorrected) = 43.2 kJ/mol of atoms
Crystal system = tetragonal
Uncorrected energy = -10.520 eV/atom

Geometry as CIF:
```
data_TiBeCuS2
_space_group_name_H-M_alt 'P 4/m m m'
_space_group_IT_number 123
_space_group_name_Hall '-P 4 2'
_cell_length_a 4.551
_cell_length_b 4.551
_cell_length_c 4.675
_cell_angle_alpha 90.00
_cell_angle_beta 90.00
_cell_angle_gamma 90.00
loop_
_atom_site_label
_atom_site_fract_x
_atom_site_fract_y
_atom_site_fract_z
Ti1 0.000 0.000 0.000
Be1 0.500 0.500 0.500
Cu1 0.000 0.000 0.500
S1 0.000 0.500 0.000
```


4.
Entry from Alexandria via LeMat-Bulk: a crystal of BeCuSb2 relaxed with PBEsol (SCAN).

Results
E_form (uncorrected) = 24.6 kJ/mol of atoms
Crystal system = trigonal
Uncorrected energy = -23.263 eV/atom

Geometry as CIF:
```
data_BeCuSb2
_space_group_name_H-M_alt 'R -3 m'
_space_group_IT_number 166
_space_group_name_Hall '-R 3 2"'
_cell_length_a 3.6340
_cell_length_b 3.6340
_cell_length_c 19.0949
_cell_angle_alpha 90.00
_cell_angle_beta 90.00
_cell_angle_gamma 120.00
loop_
_atom_site_label
_atom_site_fract_x
_atom_site_fract_y
_atom_site_fract_z
Be1 0.0000 0.0000 0.0000
Cu1 0.0000 0.0000 0.5000
Sb1 0.0000 0.0000 0.2540
```


5.
Entry from Alexandria via LeMat-Bulk: a crystal of Be2CuSb relaxed with PBEsol (SCAN).

Results
E_form (uncorrected) = 34.3 kJ/mol of atoms
Crystal system = tetragonal
Uncorrected energy = -14.936 eV/atom

Geometry as CIF:
```
data_Be2CuSb
_space_group_name_H-M_alt 'I -4 2 d'
_space_group_IT_number 122
_space_group_name_Hall 'I -4 2bw'
_cell_length_a 3.880
_cell_length_b 3.880
_cell_length_c 15.475
_cell_angle_alpha 90.00
_cell_angle_beta 90.00
_cell_angle_gamma 90.00
loop_
_atom_site_label
_atom_site_fract_x
_atom_site_fract_y
_atom_site_fract_z
Be1 0.149 0.250 0.125
Cu1 0.000 0.000 0.000
Sb1 0.000 0.000 0.500
```


6.
Entry from Alexandria via LeMat-Bulk: a crystal of BeCu2Sb relaxed with PBEsol (SCAN).

Results
E_form (uncorrected) = 23.4 kJ/mol of atoms
Crystal system = tetragonal
Uncorrected energy = -17.761 eV/atom

Geometry as CIF:
```
data_BeCu2Sb
_space_group_name_H-M_alt 'I -4 m 2'
_space_group_IT_number 119
_space_group_name_Hall 'I -4 -2'
_cell_length_a 3.804
_cell_length_b 3.804
_cell_length_c 7.624
_cell_angle_alpha 90.00
_cell_angle_beta 90.00
_cell_angle_gamma 90.00
loop_
_atom_site_label
_atom_site_fract_x
_atom_site_fract_y
_atom_site_fract_z
Be1 0.000 0.000 0.000
Cu1 0.000 0.000 0.500
Cu2 0.000 0.500 0.250
Sb1 0.000 0.500 0.750
```